(1)
Here is MnTl2Os after structural relaxation from Alexandria via LeMat-Bulk. Energies are from PBE.

Excess energy over the best structure of this formula in the dataset = 137 meV per atom
Uncorrected energy = -5.650 eV/atom
Formation enthalpy at 0 K = 0.63 eV per atom
N(E_F) = 2.14 states/eV/f.u.

Cell: 3.1316 3.1316 28.4309 Å, 90.00 90.00 120.00°
Space group R3m (No. 160, hexagonal axes)
Symmetry-distinct sites (fractional):
Mn: 0.0000 0.0000 0.0000
Tl: 0.0000 0.0000 0.2481
Tl: 0.0000 0.0000 0.4792
Os: 0.0000 0.0000 0.7261

(2)
Here is Mn3TlOs after structural relaxation from Alexandria via LeMat-Bulk. Energies are from PBE.

Excess energy over the best structure of this formula in the dataset = 0 meV per atom
Uncorrected energy = -7.158 eV/atom
Formation enthalpy at 0 K = 1.06 eV per atom
N(E_F) = 5.48 states/eV/f.u.

Cell: 4.828 4.828 4.828 Å, 90.00 90.00 90.00°
Space group Pm-3m (No. 221)
Symmetry-distinct sites (fractional):
Mn: 0.000 0.000 0.500
Tl: 0.500 0.500 0.500
Os: 0.000 0.000 0.000

(3)
Here is MnTl3Os after structural relaxation from Alexandria via LeMat-Bulk. Energies are from PBE.

Excess energy over the best structure of this formula in the dataset = 0 meV per atom
Uncorrected energy = -4.587 eV/atom
Formation enthalpy at 0 K = 0.91 eV per atom
N(E_F) = 3.37 states/eV/f.u.

Cell: 5.308 5.308 5.308 Å, 90.00 90.00 90.00°
Space group Pm-3m (No. 221)
Symmetry-distinct sites (fractional):
Mn: 0.000 0.000 0.000
Tl: 0.000 0.500 0.500
Os: 0.500 0.500 0.500

(4)
Here is MnTl2Os after structural relaxation from Alexandria via LeMat-Bulk. Energies are from PBE.

Excess energy over the best structure of this formula in the dataset = 381 meV per atom
Uncorrected energy = -5.406 eV/atom
Formation enthalpy at 0 K = 0.88 eV per atom
N(E_F) = 3.73 states/eV/f.u.

Cell: 3.1307 3.1307 27.0782 Å, 90.00 90.00 120.00°
Space group R-3m (No. 166, hexagonal axes)
Symmetry-distinct sites (fractional):
Mn: 0.0000 0.0000 0.0000
Tl: 0.0000 0.0000 0.2490
Os: 0.0000 0.0000 0.5000

(5)
Here is MnTl2Os after structural relaxation from Alexandria via LeMat-Bulk. Energies are from PBE.

Excess energy over the best structure of this formula in the dataset = 388 meV per atom
Uncorrected energy = -5.400 eV/atom
Formation enthalpy at 0 K = 0.88 eV per atom
N(E_F) = 2.77 states/eV/f.u.

Cell: 6.102 7.414 3.317 Å, 90.00 90.00 90.00°
Space group Cmmm (No. 65)
Symmetry-distinct sites (fractional):
Mn: 0.000 0.000 0.000
Tl: 0.250 0.250 0.500
Os: 0.000 0.500 0.000

(6)
Here is MnTl2Os after structural relaxation from Alexandria via LeMat-Bulk. Energies are from PBE.

Excess energy over the best structure of this formula in the dataset = 422 meV per atom
Uncorrected energy = -5.366 eV/atom
Formation enthalpy at 0 K = 0.92 eV per atom
N(E_F) = 3.50 states/eV/f.u.

Cell: 3.143 5.305 9.333 Å, 90.00 90.00 90.00°
Space group Cmmm (No. 65)
Symmetry-distinct sites (fractional):
Mn: 0.000 0.000 0.000
Tl: 0.000 0.500 0.251
Os: 0.000 0.000 0.500

(7)
Here is MnTl2Os after structural relaxation from Alexandria via LeMat-Bulk. Energies are from PBE.

Excess energy over the best structure of this formula in the dataset = 330 meV per atom
Uncorrected energy = -5.457 eV/atom
Formation enthalpy at 0 K = 0.83 eV per atom
N(E_F) = 2.06 states/eV/f.u.

Cell: 6.681 6.681 6.681 Å, 90.00 90.00 90.00°
Space group Fm-3m (No. 225)
Symmetry-distinct sites (fractional):
Mn: 0.000 0.000 0.000
Tl: 0.250 0.250 0.250
Os: 0.000 0.000 0.500

(8)
Here is MnTl2Os after structural relaxation from Alexandria via LeMat-Bulk. Energies are from PBE.

Excess energy over the best structure of this formula in the dataset = 335 meV per atom
Uncorrected energy = -5.452 eV/atom
Formation enthalpy at 0 K = 0.83 eV per atom
N(E_F) = 3.12 states/eV/f.u.

Cell: 9.284 3.272 5.157 Å, 90.00 101.27 90.00°
Space group C2/m (No. 12)
Symmetry-distinct sites (fractional):
Mn: 0.000 0.000 0.000
Tl: 0.246 0.000 0.745
Os: 0.000 0.500 0.500

(9)
Here is MnTl2Os after structural relaxation from Alexandria via LeMat-Bulk. Energies are from PBE.

Excess energy over the best structure of this formula in the dataset = 13 meV per atom
Uncorrected energy = -5.775 eV/atom
Formation enthalpy at 0 K = 0.51 eV per atom
N(E_F) = 4.45 states/eV/f.u.

Cell: 3.054 3.054 8.870 Å, 90.00 90.00 90.00°
Space group P4mm (No. 99)
Symmetry-distinct sites (fractional):
Mn: 0.000 0.000 0.000
Tl: 0.000 0.000 0.397
Tl: 0.500 0.500 0.747
Os: 0.500 0.500 0.142

(10)
Here is Mn2TlZnOs after structural relaxation from Alexandria via LeMat-Bulk. Energies are from PBE.

Uncorrected energy = -5.059 eV/atom
Formation enthalpy at 0 K = 1.58 eV per atom
N(E_F) = 4.73 states/eV/f.u.

Cell: 4.502 4.502 4.768 Å, 90.00 90.00 90.00°
Space group P4/mmm (No. 123)
Symmetry-distinct sites (fractional):
Mn: 0.000 0.500 0.000
Tl: 0.000 0.000 0.500
Zn: 0.000 0.000 0.000
Os: 0.500 0.500 0.500

(11)
Here is TmMn17Os after structural relaxation from Alexandria via LeMat-Bulk. Energies are from PBE.

Uncorrected energy = -8.919 eV/atom
Formation enthalpy at 0 K = 0.11 eV per atom
N(E_F) = 25.19 states/eV/f.u.

Cell: 8.0542 8.0542 12.1458 Å, 90.00 90.00 120.00°
Space group R3m (No. 160, hexagonal axes)
Symmetry-distinct sites (fractional):
Tm: 0.0000 0.0000 0.0000
Mn: 0.0000 0.0000 0.2503
Mn: 0.0000 0.0000 0.4347
Mn: 0.0099 0.5050 0.8346
Mn: 0.0154 0.5077 0.4991
Mn: 0.0162 0.3112 0.3447
Mn: 0.0219 0.5109 0.1975
Os: 0.0000 0.0000 0.6814

(12)
Here is TmMnOs after structural relaxation from Alexandria via LeMat-Bulk. Energies are from PBE.

Excess energy over the best structure of this formula in the dataset = 522 meV per atom
Uncorrected energy = -8.031 eV/atom
Formation enthalpy at 0 K = 0.26 eV per atom
N(E_F) = 3.17 states/eV/f.u.

Cell: 6.741 6.741 5.630 Å, 90.00 90.00 90.00°
Space group P4_12_12 (No. 92)
Symmetry-distinct sites (fractional):
Tm: 0.237 0.237 0.000
Mn: 0.194 0.806 0.750
Os: 0.060 0.060 0.500

(13)
Here is Tm2MnOs after structural relaxation from Alexandria via LeMat-Bulk. Energies are from PBE.

Excess energy over the best structure of this formula in the dataset = 0 meV per atom
Uncorrected energy = -7.416 eV/atom
Formation enthalpy at 0 K = -0.08 eV per atom
N(E_F) = 2.45 states/eV/f.u.

Cell: 6.841 6.841 6.841 Å, 90.00 90.00 90.00°
Space group Fm-3m (No. 225)
Symmetry-distinct sites (fractional):
Tm: 0.250 0.250 0.250
Mn: 0.000 0.000 0.000
Os: 0.000 0.000 0.500

(14)
Here is TmMnOs after structural relaxation from Alexandria via LeMat-Bulk. Energies are from PBE.

Excess energy over the best structure of this formula in the dataset = 0 meV per atom
Uncorrected energy = -8.553 eV/atom
Formation enthalpy at 0 K = -0.26 eV per atom
N(E_F) = 2.60 states/eV/f.u.

Cell: 5.221 5.257 7.469 Å, 90.00 90.00 90.00°
Space group Imma (No. 74)
Symmetry-distinct sites (fractional):
Tm: 0.000 0.250 0.123
Mn: 0.000 0.000 0.500
Os: 0.250 0.250 0.750